## Hf2MnS4 (PBE)

Data for a geometry-optimized Hf2MnS4 structure.

## Properties
E_form (uncorrected) ... -1.257 eV/atom

Geometry as extended XYZ:
```
14
Lattice="-4.836 -1.095 -5.498 -5.457 -0.772 4.943 -6.069 4.218 -0.491" Properties=species:S:1:pos:R:3 pbc="T T T"
Hf -8.181 1.176 -0.523
Hf -5.452 1.562 -2.995
Hf 0.000 0.000 0.000
Hf -2.418 -0.547 -2.749
Mn -12.193 1.723 -2.089
Mn -4.168 0.628 1.043
S -11.408 3.315 1.882
S -4.954 -0.964 -2.928
S -8.368 1.204 2.046
S -5.656 1.676 -0.429
S -8.589 3.715 -0.667
S -10.705 0.675 -0.616
S -7.993 1.147 -3.092
S -7.772 -1.363 -0.379
```